1.
## LaY2CdNi (PBE)

Data for a relaxed LaY2CdNi crystal.

Properties
Space group: P4/mmm (123)
ΔE_f in eV/f.u.: -0.63

a b c (Å): 5.3707 5.3707 5.1899
angles (deg): 90.00 90.00 90.00
Element x y z (fractional)
La 0.0000 0.0000 0.0000
Y 0.0000 0.5000 0.5000
Y 0.5000 0.0000 0.5000
Cd 0.5000 0.5000 0.0000
Ni 0.0000 0.0000 0.5000



2.
## LiGeCl3 (PBE)

Data for a relaxed LiGeCl3 crystal.

Properties
ΔE_f (raw) in eV per atom: -1.1894
Space group: P2_1/c (14)

a b c (Å): 8.3298 5.6405 12.2125
angles (deg): 90.00 105.86 90.00
Element x y z (fractional)
Li 0.0780 0.0227 0.1671
Li 0.0780 0.4773 0.6671
Li 0.9220 0.5227 0.3329
Li 0.9220 0.9773 0.8329
Ge 0.3506 0.5234 0.3399
Ge 0.3506 0.9766 0.8399
Ge 0.6494 0.0234 0.1601
Ge 0.6494 0.4766 0.6601
Cl 0.0997 0.0314 0.6899
Cl 0.0997 0.4686 0.1899
Cl 0.1959 0.5264 0.4792
Cl 0.1959 0.9736 0.9792
Cl 0.3483 0.5592 0.8085
Cl 0.3483 0.9408 0.3085
Cl 0.6517 0.0592 0.6915
Cl 0.6517 0.4408 0.1915
Cl 0.8041 0.0264 0.0208
Cl 0.8041 0.4736 0.5208
Cl 0.9003 0.5314 0.8101
Cl 0.9003 0.9686 0.3101



3.
## NaSr2Tl2 (PBE)

Data for a relaxed NaSr2Tl2 crystal.

Properties
Space group: C2/m (12)
ΔE_f in eV/f.u.: -1.31

a b c (Å): 6.8065 6.8065 11.9572
angles (deg): 113.65 113.65 46.20
Element x y z (fractional)
Na 0.2156 0.2156 0.3681
Na 0.7844 0.7844 0.6319
Sr 0.3210 0.3210 0.9034
Sr 0.4919 0.4919 0.3174
Sr 0.5081 0.5081 0.6826
Sr 0.6790 0.6790 0.0966
Tl 0.0314 0.0314 0.8875
Tl 0.1305 0.1305 0.5906
Tl 0.8695 0.8695 0.4094
Tl 0.9686 0.9686 0.1125



4.
## HoSnHg (PBE)

Data for a relaxed HoSnHg crystal.

Properties
Space group: Cmcm (63)
ΔE_f in eV/f.u.: -1.43

a b c (Å): 8.1412 8.1412 4.2362
angles (deg): 90.00 90.00 146.91
Element x y z (fractional)
Ho 0.0964 0.9036 0.7500
Ho 0.9036 0.0964 0.2500
Sn 0.4281 0.5719 0.7500
Sn 0.5719 0.4281 0.2500
Hg 0.2608 0.7392 0.2500
Hg 0.7392 0.2608 0.7500



5.
## LiPtI (PBE)

Data for a relaxed LiPtI crystal.

Properties
ΔE_f (raw) in eV per atom: -0.4676
Space group: C2/m (12)

a b c (Å): 4.7355 4.7355 8.9119
angles (deg): 106.40 106.40 48.29
Element x y z (fractional)
Li 0.0000 0.0000 0.0000
Li 0.0000 0.0000 0.5000
Pt 0.2507 0.2507 0.8996
Pt 0.7493 0.7493 0.1004
I 0.2545 0.2545 0.3140
I 0.7455 0.7455 0.6860



6.
## NbI2Br5 (PBE)

Data for a relaxed NbI2Br5 crystal.

Properties
ΔE_f (raw) in eV per atom: -0.5682
Space group: I4mm (107)

a b c (Å): 8.4649 8.4649 8.4649
angles (deg): 97.24 97.24 138.41
Element x y z (fractional)
Nb 0.0000 0.0000 0.0000
I 0.1660 0.6660 0.5000
I 0.6660 0.1660 0.5000
Br 0.0566 0.0566 0.3061
Br 0.0566 0.7505 0.0000
Br 0.3980 0.3980 0.0000
Br 0.7505 0.0566 0.0000
Br 0.7505 0.7505 0.6939



7.
## Ba2MgGe2 (PBE)

Data for a relaxed Ba2MgGe2 crystal.

Properties
Space group: P4/mmm (123)
ΔE_f in eV/f.u.: 2.70

a b c (Å): 3.4275 3.4275 15.4457
angles (deg): 90.00 90.00 90.00
Element x y z (fractional)
Ba 0.0000 0.0000 0.1251
Ba 0.0000 0.0000 0.8749
Mg 0.0000 0.0000 0.5000
Ge 0.0000 0.0000 0.3301
Ge 0.0000 0.0000 0.6699



8.
## Sr2H2Pb (PBE)

Data for a relaxed Sr2H2Pb crystal.

Properties
DFT total energy in eV per atom: -2.971
Space group: P4/mbm (127)

a b c (Å): 8.1480 8.1480 3.3623
angles (deg): 90.00 90.00 90.00
Element x y z (fractional)
Sr 0.1502 0.3498 0.0000
Sr 0.3498 0.8498 0.0000
Sr 0.6502 0.1502 0.0000
Sr 0.8498 0.6502 0.0000
H 0.0955 0.5955 0.5000
H 0.4045 0.0955 0.5000
H 0.5955 0.9045 0.5000
H 0.9045 0.4045 0.5000
Pb 0.0000 0.0000 0.5000
Pb 0.5000 0.5000 0.5000



9.
## K2ScW (PBE)

Data for a relaxed K2ScW crystal.

Properties
Space group: I-42d (122)
ΔE_f in eV/f.u.: 5.99

a b c (Å): 13.3093 13.3093 13.3093
angles (deg): 162.04 162.04 25.51
Element x y z (fractional)
K 0.1222 0.6250 0.9972
K 0.3750 0.3722 0.4972
K 0.6278 0.1250 0.0028
K 0.8750 0.8778 0.5028
Sc 0.2500 0.7500 0.5000
Sc 0.5000 0.5000 0.0000
W 0.0000 0.0000 0.0000
W 0.7500 0.2500 0.5000



10.
## MnMoS2N (PBE)

Data for a relaxed MnMoS2N crystal.

Properties
ΔE_f (raw) in eV per atom: 0.4621
Space group: P4/mmm (123)

a b c (Å): 4.6520 4.6520 3.4261
angles (deg): 90.00 90.00 90.00
Element x y z (fractional)
Mn 0.0000 0.0000 0.0000
Mo 0.5000 0.5000 0.5000
S 0.0000 0.5000 0.0000
S 0.5000 0.0000 0.0000
N 0.0000 0.0000 0.5000



11.
## Li2NbWN4 (PBE)

Data for a relaxed Li2NbWN4 crystal.

Properties
ΔE_f (raw) in eV per atom: -0.6856
Space group: P2/m (10)

a b c (Å): 5.2701 3.0361 5.4274
angles (deg): 90.00 108.78 90.00
Element x y z (fractional)
Li 0.0000 0.0000 0.0000
Li 0.5000 0.5000 0.0000
Nb 0.0000 0.5000 0.5000
W 0.5000 0.0000 0.5000
N 0.2499 0.0000 0.7263
N 0.2653 0.5000 0.2730
N 0.7347 0.5000 0.7270
N 0.7501 0.0000 0.2737



12.
## TbPr3Dy7 (PBE)

Data for a relaxed TbPr3Dy7 crystal.

Properties
Space group: P3m1 (156)
ΔE_f in eV/f.u.: 1.89

a b c (Å): 7.0970 7.0970 8.7343
angles (deg): 90.00 90.00 120.00
Element x y z (fractional)
Tb 0.0000 0.0000 0.0000
Pr 0.1667 0.3334 0.6599
Pr 0.1667 0.8333 0.6599
Pr 0.6666 0.8333 0.6599
Dy 0.0016 0.5008 0.9986
Dy 0.3318 0.1659 0.3217
Dy 0.3333 0.6667 0.3200
Dy 0.4992 0.5008 0.9986
Dy 0.4992 0.9984 0.9986
Dy 0.8341 0.1659 0.3217
Dy 0.8341 0.6682 0.3217



13.
## TbNd2Au2 (PBE)

Data for a relaxed TbNd2Au2 crystal.

Properties
Space group: Immm (71)
ΔE_f in eV/f.u.: -3.00

a b c (Å): 6.3897 6.3897 6.3897
angles (deg): 143.36 111.91 79.89
Element x y z (fractional)
Tb 0.0000 0.0000 0.0000
Nd 0.3019 0.8019 0.5000
Nd 0.6981 0.1981 0.5000
Au 0.2932 0.5000 0.7932
Au 0.7068 0.5000 0.2068



14.
## LiSc2Ag (PBE)

Data for a relaxed LiSc2Ag crystal.

Properties
Space group: R-3m (166)
ΔE_f in eV/f.u.: 0.69

a b c (Å): 10.9282 10.9282 10.9282
angles (deg): 16.41 16.41 16.41
Element x y z (fractional)
Li 0.0000 0.0000 0.0000
Sc 0.0924 0.0924 0.0924
Sc 0.9076 0.9076 0.9076
Ag 0.5000 0.5000 0.5000



15.
## Ti3CuPb (PBE)

Data for a relaxed Ti3CuPb crystal.

Properties
Space group: Pm-3m (221)
ΔE_f in eV/f.u.: 1.79

a b c (Å): 4.6451 4.6451 4.6451
angles (deg): 90.00 90.00 90.00
Element x y z (fractional)
Ti 0.0000 0.0000 0.5000
Ti 0.0000 0.5000 0.0000
Ti 0.5000 0.0000 0.0000
Cu 0.0000 0.0000 0.0000
Pb 0.5000 0.5000 0.5000



16.
## FeTcPd (PBE)

Data for a relaxed FeTcPd crystal.

Properties
Space group: I4mm (107)
ΔE_f in eV/f.u.: 0.22

a b c (Å): 5.9893 5.9893 5.9893
angles (deg): 154.01 154.01 37.09
Element x y z (fractional)
Fe 0.0000 0.0000 0.0000
Tc 0.3484 0.3484 0.0000
Pd 0.6671 0.6671 0.0000



17.
## Mn3SiH (PBE)

Data for a relaxed Mn3SiH crystal.

Properties
DFT total energy in eV per atom: -7.392
Space group: P-1 (2)

a b c (Å): 3.8502 5.0235 5.0785
angles (deg): 104.73 90.02 90.01
Element x y z (fractional)
Mn 0.2494 0.3634 0.0896
Mn 0.2498 0.3582 0.5612
Mn 0.2504 0.8899 0.7901
Mn 0.7496 0.1101 0.2099
Mn 0.7502 0.6418 0.4388
Mn 0.7506 0.6366 0.9104
Si 0.2496 0.8690 0.2914
Si 0.7504 0.1310 0.7086
H 0.2522 0.5840 0.8695
H 0.7478 0.4160 0.1305



18.
## Zr2TiGe (PBE)

Data for a relaxed Zr2TiGe crystal.

Properties
Space group: P4/mmm (123)
ΔE_f in eV/f.u.: -1.43

a b c (Å): 4.2942 4.2942 4.1439
angles (deg): 90.00 90.00 90.00
Element x y z (fractional)
Zr 0.0000 0.5000 0.0000
Zr 0.5000 0.0000 0.0000
Ti 0.0000 0.0000 0.5000
Ge 0.5000 0.5000 0.5000



19.
## NaMnCl5 (PBE)

Data for a relaxed NaMnCl5 crystal.

Properties
ΔE_f (raw) in eV per atom: -1.0206
Space group: C2/c (15)

a b c (Å): 6.7048 6.7048 9.2147
angles (deg): 108.49 108.49 68.23
Element x y z (fractional)
Na 0.0250 0.9750 0.7500
Na 0.9750 0.0250 0.2500
Mn 0.5000 0.5000 0.0000
Mn 0.5000 0.5000 0.5000
Cl 0.1437 0.6901 0.0094
Cl 0.1898 0.4075 0.3807
Cl 0.3099 0.8563 0.4906
Cl 0.4046 0.5954 0.7500
Cl 0.4075 0.1898 0.8807
Cl 0.5925 0.8102 0.1193
Cl 0.5954 0.4046 0.2500
Cl 0.6901 0.1437 0.5094
Cl 0.8102 0.5925 0.6193
Cl 0.8563 0.3099 0.9906



20.
## HfFe2BiPt (PBE)

Data for a relaxed HfFe2BiPt crystal.

Properties
Space group: P4/mmm (123)
ΔE_f in eV/f.u.: 6.29

a b c (Å): 4.7523 4.7523 5.0079
angles (deg): 90.00 90.00 90.00
Element x y z (fractional)
Hf 0.0000 0.0000 0.0000
Fe 0.0000 0.5000 0.5000
Fe 0.5000 0.0000 0.5000
Bi 0.5000 0.5000 0.5000
Pt 0.5000 0.5000 0.0000



21.
## LaGdZn (PBE)

Data for a relaxed LaGdZn crystal.

Properties
Space group: I4mm (107)
ΔE_f in eV/f.u.: -0.64

a b c (Å): 6.7464 6.7464 6.7464
angles (deg): 148.12 148.12 45.71
Element x y z (fractional)
La 0.0000 0.0000 0.0000
Gd 0.2891 0.2891 0.0000
Zn 0.6567 0.6567 0.0000



22.
## TaHgTe2 (PBE)

Data for a relaxed TaHgTe2 crystal.

Properties
ΔE_f (raw) in eV per atom: 0.5225
Space group: C2/m (12)

a b c (Å): 5.1701 5.1701 3.6151
angles (deg): 90.72 90.72 104.01
Element x y z (fractional)
Ta 0.0000 0.0000 0.0000
Hg 0.5000 0.5000 0.0000
Te 0.0000 0.5000 0.5000
Te 0.5000 0.0000 0.5000



23.
## PdSeN2O (PBE)

Data for a relaxed PdSeN2O crystal.

Properties
ΔE_f (raw) in eV per atom: 1.4956
Space group: P4/mmm (123)

a b c (Å): 3.9503 3.9503 3.6411
angles (deg): 90.00 90.00 90.00
Element x y z (fractional)
Pd 0.0000 0.0000 0.0000
Se 0.5000 0.5000 0.5000
N 0.0000 0.5000 0.5000
N 0.5000 0.0000 0.5000
O 0.5000 0.5000 0.0000



24.
## Nd9TmSc2 (PBE)

Data for a relaxed Nd9TmSc2 crystal.

Properties
Space group: P4/mmm (123)
ΔE_f in eV/f.u.: 0.36

a b c (Å): 5.0794 5.0794 15.2351
angles (deg): 90.00 90.00 90.00
Element x y z (fractional)
Nd 0.0000 0.0000 0.0000
Nd 0.0000 0.0000 0.3351
Nd 0.0000 0.0000 0.6649
Nd 0.0000 0.5000 0.1701
Nd 0.0000 0.5000 0.5000
Nd 0.0000 0.5000 0.8299
Nd 0.5000 0.0000 0.1701
Nd 0.5000 0.0000 0.5000
Nd 0.5000 0.0000 0.8299
Tm 0.5000 0.5000 0.0000
Sc 0.5000 0.5000 0.3350
Sc 0.5000 0.5000 0.6650



25.
## SmPbI2 (PBE)

Data for a relaxed SmPbI2 crystal.

Properties
ΔE_f (raw) in eV per atom: -0.7322
Space group: R-3m (166)

a b c (Å): 11.3496 11.3496 11.3496
angles (deg): 19.93 19.93 19.93
Element x y z (fractional)
Sm 0.0000 0.0000 0.0000
Pb 0.5000 0.5000 0.5000
I 0.3991 0.3991 0.3991
I 0.6009 0.6009 0.6009



Number 1: DOS(E_F) 9.1 states/eV per cell. Number 2: DOS(E_F) 0.0 states/eV per cell. Number 3: DOS(E_F) 7.6 states/eV per cell. Number 4: DOS(E_F) 3.4 states/eV per cell. Number 5: DOS(E_F) 0.0 states/eV per cell. Number 6: DOS(E_F) 4.0 states/eV per cell. Number 7: DOS(E_F) 3.1 states/eV per cell. Number 8: DOS(E_F) 2.2 states/eV per cell. Number 9: DOS(E_F) 8.4 states/eV per cell. Number 10: DOS(E_F) 2.6 states/eV per cell. Number 11: DOS(E_F) 2.2 states/eV per cell. Number 12: DOS(E_F) 16.9 states/eV per cell. Number 13: DOS(E_F) 6.3 states/eV per cell. Number 14: DOS(E_F) 3.9 states/eV per cell. Number 15: DOS(E_F) 5.1 states/eV per cell. Number 16: DOS(E_F) 3.1 states/eV per cell. Number 17: DOS(E_F) 6.9 states/eV per cell. Number 18: DOS(E_F) 3.5 states/eV per cell. Number 19: DOS(E_F) 12.4 states/eV per cell. Number 20: DOS(E_F) 4.7 states/eV per cell. Number 21: DOS(E_F) 3.0 states/eV per cell. Number 22: DOS(E_F) 2.8 states/eV per cell. Number 23: DOS(E_F) 5.1 states/eV per cell. Number 24: DOS(E_F) 16.7 states/eV per cell. Number 25: DOS(E_F) 1.8 states/eV per cell.